[1]
VASP calculation (PBE) on an optimized crystal structure of Nd6Te3Rh2Au.

## Properties
- ρ (kg/m3) = 7667
- formation energy (no corrections) (meV per atom) = -1039.1

Unit cell a=7.3871 b=7.3871 c=7.9548 alpha=98.90 beta=98.90 gamma=119.98
Closest atoms and distances in Å follow each position.
Element x y z (fractional)
Nd1 0.0750 0.4278 0.7830  2 Rh 2.89-2.90, 1 Au 3.08, 1 Te 3.21
Nd2 0.2181 0.2181 0.2120  2 Rh 2.89, 1 Au 3.06, 1 Te 3.18
Nd3 0.4278 0.0750 0.7830  2 Rh 2.89-2.90, 1 Au 3.08, 1 Te 3.21
Nd4 0.5722 0.9250 0.2170  2 Rh 2.89-2.90, 1 Au 3.08, 1 Te 3.21
Nd5 0.7819 0.7819 0.7880  2 Rh 2.89, 1 Au 3.06, 1 Te 3.18
Nd6 0.9250 0.5722 0.2170  2 Rh 2.89-2.90, 1 Au 3.08, 1 Te 3.21
Te1 0.0000 0.0000 0.5000  6 Nd 3.18-3.32
Te2 0.3392 0.6608 0.5000  6 Nd 3.21-3.32
Te3 0.6608 0.3392 0.5000  6 Nd 3.21-3.32
Rh1 0.1676 0.8324 0.0000  6 Nd 2.89-2.90
Rh2 0.8324 0.1676 0.0000  6 Nd 2.89-2.90
Au1 0.5000 0.5000 0.0000  6 Nd 3.06-3.08

---

[2]
VASP calculation (PBE) on an optimized crystal structure of NdThRhAu.

## Properties
- energy of formation (kJ per mole of atoms) = -79.45
- ρ (kg/m3) = 11113

Unit cell a=4.1741 b=3.9850 c=12.1478 alpha=90.00 beta=90.00 gamma=90.00
Closest atoms and distances in Å follow each position.
Element x y z (fractional)
Nd1 0.0000 0.0000 0.0000  1 Rh 2.99, 4 Au 3.02
Nd2 0.0000 0.5000 0.5000  1 Rh 2.99, 4 Au 3.02
Th1 0.5000 0.0000 0.2785  4 Rh 2.90, 2 Au 3.19
Th2 0.5000 0.5000 0.7785  4 Rh 2.90, 2 Au 3.19
Rh1 0.0000 0.0000 0.7535  4 Th 2.90, 1 Nd 2.99, 2 Au 3.03
Rh2 0.0000 0.5000 0.2535  4 Th 2.90, 1 Nd 2.99, 2 Au 3.03
Au1 0.5000 0.0000 0.5731  4 Nd 3.02, 2 Rh 3.03, 2 Th 3.19
Au2 0.5000 0.5000 0.0731  4 Nd 3.02, 2 Rh 3.03, 2 Th 3.19

---

[3]
VASP calculation (PBE) on an optimized crystal structure of NdTh2Rh5Au.

## Properties
- energy of formation (kJ per mole of atoms) = -34.56
- ρ (kg/m3) = 11175

Unit cell a=8.1419 b=8.1419 c=8.1419 alpha=118.03 beta=118.03 gamma=93.44
Closest atoms and distances in Å follow each position.
Element x y z (fractional)
Nd1 0.2500 0.2500 0.0000  2 Rh 2.79
Nd2 0.7500 0.7500 0.0000  2 Rh 2.79
Th1 0.1384 0.6384 0.7767  2 Rh 2.50
Th2 0.3616 0.1384 0.5000  2 Rh 2.50
Th3 0.6384 0.8616 0.5000  2 Rh 2.50
Th4 0.8616 0.3616 0.2233  2 Rh 2.50
Rh1 0.0000 0.0000 0.0000  2 Nd 2.79
Rh2 0.0584 0.1750 0.5000  1 Th 2.50, 1 Au 2.62
Rh3 0.1750 0.6750 0.1166  1 Th 2.50, 1 Au 2.62
Rh4 0.3250 0.4416 0.5000  1 Th 2.50, 1 Au 2.62
Rh5 0.4416 0.9416 0.1166  1 Th 2.50, 1 Au 2.62
Rh6 0.5000 0.5000 0.0000  2 Nd 2.79
Rh7 0.5584 0.0584 0.8834  1 Th 2.50, 1 Au 2.62
Rh8 0.6750 0.5584 0.5000  1 Th 2.50, 1 Au 2.62
Rh9 0.8250 0.3250 0.8834  1 Th 2.50, 1 Au 2.62
Rh10 0.9416 0.8250 0.5000  1 Th 2.50, 1 Au 2.62
Au1 0.2500 0.7500 0.5000  4 Rh 2.62
Au2 0.7500 0.2500 0.5000  4 Rh 2.62

---

[4]
VASP calculation (PBE) on an optimized crystal structure of NdThRhAu.

## Properties
- energy of formation (kJ per mole of atoms) = -62.22
- ρ (kg/m3) = 11658

Unit cell a=7.2764 b=7.2764 c=7.2764 alpha=90.00 beta=90.00 gamma=90.00
Closest atoms and distances in Å follow each position.
Element x y z (fractional)
Nd1 0.0000 0.0000 0.0000  4 Rh 3.15, 4 Au 3.15
Nd2 0.0000 0.5000 0.5000  4 Rh 3.15, 4 Au 3.15
Nd3 0.5000 0.0000 0.5000  4 Rh 3.15, 4 Au 3.15
Nd4 0.5000 0.5000 0.0000  4 Rh 3.15, 4 Au 3.15
Th1 0.0000 0.0000 0.5000  4 Rh 3.15, 4 Au 3.15
Th2 0.0000 0.5000 0.0000  4 Rh 3.15, 4 Au 3.15
Th3 0.5000 0.0000 0.0000  4 Rh 3.15, 4 Au 3.15
Th4 0.5000 0.5000 0.5000  4 Rh 3.15, 4 Au 3.15
Rh1 0.2500 0.2500 0.7500  4 Th 3.15, 4 Nd 3.15
Rh2 0.2500 0.7500 0.2500  4 Th 3.15, 4 Nd 3.15
Rh3 0.7500 0.2500 0.2500  4 Th 3.15, 4 Nd 3.15
Rh4 0.7500 0.7500 0.7500  4 Th 3.15, 4 Nd 3.15
Au1 0.2500 0.2500 0.2500  4 Th 3.15, 4 Nd 3.15
Au2 0.2500 0.7500 0.7500  4 Th 3.15, 4 Nd 3.15
Au3 0.7500 0.2500 0.7500  4 Th 3.15, 4 Nd 3.15
Au4 0.7500 0.7500 0.2500  4 Th 3.15, 4 Nd 3.15

---

These records have total energy values of -0.4194, -0.4798, -0.5134, -0.4666 Ry/atom, in the order they appear.
These records have density of states at the Fermi level values of 0.618, 0.724, 1.015, 0.842 states/eV/atom, in the order they appear.